Record 1
Below is an optimized crystal structure of Ho2ErTl4, with properties calculated at the PBE level.

Fermi-level density of states: 0.8301 states/eV per atom
total magnetization: 0.01 μB per formula unit
ΔE_f: -214 meV per atom
distance to the lowest polymorph of the same formula: 0.0000 eV/atom
final energy: -3.53 eV per atom

abc: 7.436 7.436 7.470
angles: 90.00 90.00 90.00
Space group I4/mmm (No. 139)
Symmetry-distinct sites (fractional):
Ho 0.000 0.500 0.000 (multiplicity 4)
Er 0.000 0.000 0.000 (multiplicity 2)
Tl 0.250 0.250 0.250 (multiplicity 8)



Record 2
Below is an optimized crystal structure of HoEr5Tl2, with properties calculated at the PBE level.

Fermi-level density of states: 1.2841 states/eV per atom
total magnetization: 0.00 μB per formula unit
ΔE_f: -105 meV per atom
final energy: -4.12 eV per atom

abc: 3.570 10.387 12.642
angles: 90.00 90.00 90.00
Space group Immm (No. 71)
Symmetry-distinct sites (fractional):
Ho 0.000 0.000 0.000 (multiplicity 2)
Er 0.000 0.230 0.367 (multiplicity 8)
Er 0.000 0.500 0.000 (multiplicity 2)
Tl 0.000 0.500 0.260 (multiplicity 4)



Record 3
Below is an optimized crystal structure of Ho12Er6Tl, with properties calculated at the PBE level.

Fermi-level density of states: 1.3676 states/eV per atom
total magnetization: 0.00 μB per formula unit
ΔE_f: -3 meV per atom
distance to the lowest polymorph of the same formula: 0.0000 eV/atom
final energy: -4.46 eV per atom

abc: 15.2589 15.2589 8.5721
angles: 90.00 90.00 120.00
Space group R-3 (No. 148, hexagonal axes)
Symmetry-distinct sites (fractional):
Ho 0.0351 0.2832 0.3368 (multiplicity 18)
Ho 0.0704 0.5612 0.6648 (multiplicity 18)
Er 0.0176 0.1392 0.6664 (multiplicity 18)
Tl 0.0000 0.0000 0.0000 (multiplicity 3)



Record 4
Below is an optimized crystal structure of Ho4ErTl7, with properties calculated at the PBE level.

Fermi-level density of states: 0.5045 states/eV per atom
total magnetization: 0.00 μB per formula unit
ΔE_f: -95 meV per atom
final energy: -3.38 eV per atom

abc: 13.533 5.632 11.298
angles: 90.00 123.48 90.00
Space group C2/m (No. 12)
Symmetry-distinct sites (fractional):
Ho 0.084 0.000 0.283 (multiplicity 4)
Ho 0.219 0.000 0.826 (multiplicity 4)
Er 0.000 0.500 0.500 (multiplicity 2)
Tl 0.000 0.000 0.500 (multiplicity 2)
Tl 0.082 0.500 0.826 (multiplicity 4)
Tl 0.133 0.000 0.044 (multiplicity 4)
Tl 0.213 0.500 0.396 (multiplicity 4)